First-principles (PBE-GGA) data for an optimized crystal structure of Pm2Si5Tc, as listed in the Alexandria database.

Calculated values
Its space group is I4mm, No. 107. The formation energy without anion corrections comes out at -0.513 eV/atom.

Lattice parameters (Å, degrees): 6.0957 6.0957 6.0957 122.13 122.13 86.35
Atoms (fractional coordinates):
Pm (0.0000, 0.5000, 0.5000)
Pm (0.5000, 0.0000, 0.5000)
Si (0.0379, 0.0379, 0.5831)
Si (0.0379, 0.4548, 0.0000)
Si (0.4504, 0.4504, 0.0000)
Si (0.4548, 0.0379, 0.0000)
Si (0.4548, 0.4548, 0.4169)
Tc (0.7163, 0.7163, 0.0000)

=====

First-principles (PBE-GGA) data for an optimized crystal structure of K2AlAgI6, as listed in the Alexandria database.

Calculated values
Its space group is R3, No. 146. The formation energy without anion corrections comes out at -0.846 eV/atom.

Lattice parameters (Å, degrees): 8.6215 8.6215 8.6215 57.30 57.30 57.30
Atoms (fractional coordinates):
K (0.0000, 0.0000, 0.0000)
K (0.4880, 0.4880, 0.4880)
Al (0.7156, 0.7156, 0.7156)
Ag (0.2966, 0.2966, 0.2966)
I (0.0164, 0.4706, 0.8495)
I (0.3883, 0.9174, 0.5652)
I (0.4706, 0.8495, 0.0164)
I (0.5652, 0.3883, 0.9174)
I (0.8495, 0.0164, 0.4706)
I (0.9174, 0.5652, 0.3883)

=====

First-principles (PBE-GGA) data for an optimized crystal structure of CsTe2IN, as listed in the Alexandria database.

Calculated values
Its space group is P4/mmm, No. 123. The formation energy without anion corrections comes out at 1.673 eV/atom.

Lattice parameters (Å, degrees): 6.8412 6.8412 4.1869 90.00 90.00 90.00
Atoms (fractional coordinates):
Cs (0.0000, 0.0000, 0.0000)
Te (0.0000, 0.5000, 0.0000)
Te (0.5000, 0.0000, 0.0000)
I (0.5000, 0.5000, 0.5000)
N (0.0000, 0.0000, 0.5000)

=====

First-principles (PBE-GGA) data for an optimized crystal structure of ZnCuGe, as listed in the Alexandria database.

Calculated values
Its space group is F-43m, No. 216. The value obtained for the total DFT energy (no corrections) is -3.307 eV per atom.

Lattice parameters (Å, degrees): 4.1076 4.1076 4.1076 60.00 60.00 60.00
Atoms (fractional coordinates):
Zn (0.0000, 0.0000, 0.0000)
Cu (0.7500, 0.7500, 0.7500)
Ge (0.5000, 0.5000, 0.5000)

=====

First-principles (PBE-GGA) data for an optimized crystal structure of Tb2SmZn2Ga2, as listed in the Alexandria database.

Calculated values
Its space group is R-3m, No. 166. The value obtained for the total DFT energy (no corrections) is -3.633 eV per atom.

Lattice parameters (Å, degrees): 9.6292 9.6292 9.6292 26.80 26.80 26.80
Atoms (fractional coordinates):
Tb (0.1273, 0.1273, 0.1273)
Tb (0.8727, 0.8727, 0.8727)
Sm (0.0000, 0.0000, 0.0000)
Zn (0.4005, 0.4005, 0.4005)
Zn (0.5995, 0.5995, 0.5995)
Ga (0.2611, 0.2611, 0.2611)
Ga (0.7389, 0.7389, 0.7389)

=====

First-principles (PBE-GGA) data for an optimized crystal structure of Zr2AlSn2, as listed in the Alexandria database.

Calculated values
Its space group is P4/mbm, No. 127. The value obtained for the total DFT energy (no corrections) is -6.052 eV per atom.

Lattice parameters (Å, degrees): 7.3599 7.3599 4.2830 90.00 90.00 90.00
Atoms (fractional coordinates):
Zr (0.1639, 0.3361, 0.0000)
Zr (0.3361, 0.8361, 0.0000)
Zr (0.6639, 0.1639, 0.0000)
Zr (0.8361, 0.6639, 0.0000)
Al (0.0000, 0.0000, 0.0000)
Al (0.5000, 0.5000, 0.0000)
Sn (0.1451, 0.6451, 0.5000)
Sn (0.3549, 0.1451, 0.5000)
Sn (0.6451, 0.8549, 0.5000)
Sn (0.8549, 0.3549, 0.5000)

=====

First-principles (PBE-GGA) data for an optimized crystal structure of MnTl2Au, as listed in the Alexandria database.

Calculated values
Its space group is I-4m2, No. 119. The value obtained for the total DFT energy (no corrections) is -3.986 eV per atom.

Lattice parameters (Å, degrees): 5.6003 5.6003 5.6003 134.14 134.14 66.86
Atoms (fractional coordinates):
Mn (0.0000, 0.0000, 0.0000)
Tl (0.2500, 0.7500, 0.5000)
Tl (0.5000, 0.5000, 0.0000)
Au (0.7500, 0.2500, 0.5000)